1.
A relaxed Pu6SnHg5 crystal. Source: Alexandria via LeMat-Bulk, functional PBE.

Cell: 5.7149 6.4239 17.1789 Å, 90.00 90.00 90.00°
Closest atoms and distances in Å follow each position.
Space group Immm (No. 71)
One atom of each set of equivalent atoms:
Pu1 0.0000 0.2469 0.0000 (multiplicity 4)  2 Pu 3.17-3.25, 6 Hg 3.26-3.29, 2 Sn 3.27
Pu2 0.0000 0.2518 0.3317 (multiplicity 8)  2 Pu 3.19-3.24, 7 Hg 3.25-3.31, 1 Sn 3.30
Sn1 0.0000 0.5000 0.5000 (multiplicity 2)  2 Hg 3.21, 8 Pu 3.27-3.30
Hg1 0.0000 0.0000 0.1678 (multiplicity 4)  2 Hg 3.21, 8 Pu 3.25-3.29
Hg2 0.0000 0.0000 0.5000 (multiplicity 2)  2 Sn 3.21, 8 Pu 3.29-3.31
Hg3 0.0000 0.5000 0.1648 (multiplicity 4)  2 Hg 3.21, 8 Pu 3.26-3.28

Results
E_tot = -93.04 eV/f.u.
volume = 26.3 Å³/atom
formation enthalpy at 0 K = -128 meV per atom
D(E_F) = 101.7 states/eV per cell

=====

2.
A relaxed Nb14SnMo crystal. Source: Alexandria via LeMat-Bulk, functional PBE.

Cell: 6.6380 6.6380 6.6432 Å, 90.00 90.00 90.00°
Closest atoms and distances in Å follow each position.
Space group P4/mmm (No. 123)
One atom of each set of equivalent atoms:
Nb1 0.0000 0.0000 0.0000 (multiplicity 1)  8 Nb 2.82
Nb2 0.0000 0.5000 0.0000 (multiplicity 2)  8 Nb 2.87
Nb3 0.0000 0.5000 0.5000 (multiplicity 2)  8 Nb 2.88
Nb4 0.2427 0.2427 0.2490 (multiplicity 8)  6 Nb 2.82-2.93, 1 Mo 2.82, 1 Sn 2.93
Nb5 0.5000 0.5000 0.0000 (multiplicity 1)  8 Nb 2.93
Sn1 0.5000 0.5000 0.5000 (multiplicity 1)  8 Nb 2.93
Mo1 0.0000 0.0000 0.5000 (multiplicity 1)  8 Nb 2.82

Results
E_tot = -156.64 eV/f.u.
volume = 18.3 Å³/atom
formation enthalpy at 0 K = -52 meV per atom
D(E_F) = 19.9 states/eV per cell

=====

3.
A relaxed Sc2MoIr crystal. Source: Alexandria via LeMat-Bulk, functional PBE.

Cell: 3.1809 4.5683 9.7480 Å, 90.00 90.00 90.00°
Closest atoms and distances in Å follow each position.
Space group Imm2 (No. 44)
One atom of each set of equivalent atoms:
Sc1 0.0000 0.0000 0.0000 (multiplicity 2)  4 Mo 2.80, 2 Ir 2.88, 2 Sc 3.11
Sc2 0.0000 0.5000 0.2264 (multiplicity 2)  4 Ir 2.79, 2 Mo 2.95, 2 Sc 3.11
Mo1 0.0000 0.0000 0.4710 (multiplicity 2)  2 Ir 2.71, 6 Sc 2.80-2.95
Ir1 0.0000 0.5000 0.7463 (multiplicity 2)  2 Mo 2.71, 6 Sc 2.79-2.88

Results
E_tot = -33.83 eV/f.u.
volume = 17.7 Å³/atom
formation enthalpy at 0 K = -368 meV per atom
D(E_F) = 8.6 states/eV per cell

=====

4.
A relaxed Tb3Al2Zn3 crystal. Source: Alexandria via LeMat-Bulk, functional PBE.

Cell: 4.4271 10.6775 14.6369 Å, 90.00 90.00 90.00°
Closest atoms and distances in Å follow each position.
Space group Cmcm (No. 63)
One atom of each set of equivalent atoms:
Tb1 0.0000 0.0882 0.1103 (multiplicity 8)  7 Zn 3.09-3.38, 4 Al 3.13-3.27
Tb2 0.0000 0.3729 0.2500 (multiplicity 4)  5 Zn 3.12-3.14, 4 Al 3.27
Al1 0.0000 0.2059 0.5963 (multiplicity 8)  4 Zn 2.59-2.75
Zn1 0.0000 0.3354 0.7500 (multiplicity 4)  2 Al 2.64
Zn2 0.0000 0.3885 0.0362 (multiplicity 8)  3 Al 2.59-2.75, 1 Zn 2.61

Results
E_tot = -28.45 eV/f.u.
volume = 21.6 Å³/atom
formation enthalpy at 0 K = -407 meV per atom
D(E_F) = 20.2 states/eV per cell

=====

5.
A relaxed Nd3SbH crystal. Source: Alexandria via LeMat-Bulk, functional PBE.

Cell: 4.5318 15.0152 7.8665 Å, 90.00 90.00 90.00°
Closest atoms and distances in Å follow each position.
Space group Cmc2_1 (No. 36)
One atom of each set of equivalent atoms:
Nd1 0.0000 0.0499 0.0000 (multiplicity 4)  2 H 2.36-2.45
Nd2 0.0000 0.2368 0.4760 (multiplicity 4)  1 H 3.01, 3 Sb 3.29-3.32
Nd3 0.0000 0.4055 0.1779 (multiplicity 4)  2 H 2.30
Sb1 0.0000 0.3877 0.7795 (multiplicity 4)  7 Nd 3.15-3.32
H1 0.0000 0.0710 0.6912 (multiplicity 4)  4 Nd 2.30-2.45

Results
E_tot = -24.29 eV/f.u.
volume = 26.8 Å³/atom
D(E_F) = 18.3 states/eV per cell
distance to the lowest polymorph of the same formula = 89 meV per atom

=====

6.
A relaxed TcMo2W8 crystal. Source: Alexandria via LeMat-Bulk, functional PBE.

Cell: 5.1941 5.1942 8.1075 Å, 98.47 98.30 117.83°
Closest atoms and distances in Å follow each position.
Space group P-1 (No. 2)
One atom of each set of equivalent atoms:
Tc1 0.0000 0.0000 0.0000 (multiplicity 1)  6 W 2.64-2.71
Mo1 0.2515 0.7479 0.5002 (multiplicity 2)  2 Mo 2.68-2.69, 6 W 2.71-2.74
W1 0.0484 0.5378 0.8373 (multiplicity 2)  6 W 2.68-2.93, 1 Tc 2.70, 1 Mo 2.74
W2 0.0907 0.0901 0.3370 (multiplicity 2)  1 Tc 2.64, 5 W 2.67-2.84, 2 Mo 2.71
W3 0.4190 0.4189 0.6769 (multiplicity 2)  5 W 2.67-2.82, 2 Mo 2.73
W4 0.4629 0.9511 0.1630 (multiplicity 2)  6 W 2.68-2.93, 1 Tc 2.71, 1 Mo 2.74

Results
E_tot = -131.83 eV/f.u.
volume = 16.9 Å³/atom
formation enthalpy at 0 K = 348 meV per atom
D(E_F) = 6.5 states/eV per cell

=====

7.
A relaxed Tb2PmBe crystal. Source: Alexandria via LeMat-Bulk, functional PBE.

Cell: 3.4763 3.4763 34.4475 Å, 90.00 90.00 120.00°
Closest atoms and distances in Å follow each position.
Space group R-3m (No. 166, hexagonal axes)
One atom of each set of equivalent atoms:
Tb1 0.0000 0.0000 0.0837 (multiplicity 6)  1 Be 2.88
Pm1 0.0000 0.0000 0.5000 (multiplicity 3)  6 Pm 3.48, 6 Tb 3.49
Be1 0.0000 0.0000 0.0000 (multiplicity 3)  2 Tb 2.88

Results
E_tot = -14.92 eV/f.u.
volume = 30.0 Å³/atom
formation enthalpy at 0 K = 704 meV per atom
D(E_F) = 14.8 states/eV per cell
distance to the lowest polymorph of the same formula = 629 meV per atom

=====

8.
A relaxed CaMn3Bi crystal. Source: Alexandria via LeMat-Bulk, functional PBE.

Cell: 5.1464 5.1464 5.1464 Å, 90.00 90.00 90.00°
Closest atoms and distances in Å follow each position.
Space group Pm-3m (No. 221)
One atom of each set of equivalent atoms:
Ca1 0.0000 0.0000 0.0000 (multiplicity 1)  12 Mn 3.64
Mn1 0.0000 0.5000 0.5000 (multiplicity 3)  2 Bi 2.57
Bi1 0.5000 0.5000 0.5000 (multiplicity 1)  6 Mn 2.57

Results
E_tot = -28.76 eV/f.u.
volume = 27.3 Å³/atom
formation enthalpy at 0 K = 926 meV per atom
D(E_F) = 10.4 states/eV per cell
distance to the lowest polymorph of the same formula = 0 meV per atom

=====

9.
A relaxed HfTe2Rh crystal. Source: Alexandria via LeMat-Bulk, functional PBE.

Cell: 3.6087 3.6087 27.0446 Å, 90.00 90.00 120.00°
Closest atoms and distances in Å follow each position.
Space group R-3m (No. 166, hexagonal axes)
One atom of each set of equivalent atoms:
Hf1 0.0000 0.0000 0.0000 (multiplicity 3)  6 Te 2.86
Te1 0.0000 0.0000 0.4059 (multiplicity 6)  1 Rh 2.55
Rh1 0.0000 0.0000 0.5000 (multiplicity 3)  2 Te 2.55

Results
E_tot = -23.77 eV/f.u.
volume = 25.4 Å³/atom
D(E_F) = 12.3 states/eV per cell
distance to the lowest polymorph of the same formula = 189 meV per atom

=====

10.
A relaxed ZrReW2 crystal. Source: Alexandria via LeMat-Bulk, functional PBE.

Cell: 2.8306 4.5650 5.3262 Å, 90.00 100.62 90.00°
Closest atoms and distances in Å follow each position.
Space group P2/m (No. 10)
One atom of each set of equivalent atoms:
Zr1 0.0000 0.0000 0.0000 (multiplicity 1)  2 Re 2.78, 4 W 2.82, 2 Zr 2.83
Re1 0.5000 0.0000 0.5000 (multiplicity 1)  4 W 2.77, 2 Zr 2.78, 2 Re 2.83
W1 0.2588 0.5000 0.7443 (multiplicity 2)  4 W 2.74-2.83, 2 Re 2.77, 2 Zr 2.82

Results
E_tot = -46.83 eV/f.u.
volume = 16.9 Å³/atom
formation enthalpy at 0 K = 17 meV per atom
D(E_F) = 1.5 states/eV per cell
distance to the lowest polymorph of the same formula = 73 meV per atom

=====

11.
A relaxed Er2ThPd7 crystal. Source: Alexandria via LeMat-Bulk, functional PBE.

Cell: 5.7855 8.3784 16.9858 Å, 90.00 90.00 90.00°
Closest atoms and distances in Å follow each position.
Space group Fmmm (No. 69)
One atom of each set of equivalent atoms:
Er1 0.0000 0.0000 0.1734 (multiplicity 8)  9 Pd 2.86-2.95
Th1 0.0000 0.0000 0.5000 (multiplicity 4)  10 Pd 2.89-2.93
Pd1 0.0000 0.0000 0.0000 (multiplicity 4)  2 Th 2.89, 8 Pd 2.93, 2 Er 2.95
Pd2 0.2500 0.2500 0.0860 (multiplicity 16)  6 Pd 2.79-2.93, 2 Th 2.93, 2 Er 2.95
Pd3 0.2500 0.2500 0.2500 (multiplicity 8)  4 Pd 2.79-2.89, 4 Er 2.86

Results
E_tot = -60.23 eV/f.u.
volume = 20.6 Å³/atom
formation enthalpy at 0 K = -733 meV per atom
D(E_F) = 24.0 states/eV per cell

=====

12.
A relaxed LaFeCoGe3 crystal. Source: Alexandria via LeMat-Bulk, functional PBE.

Cell: 6.8468 11.0501 6.0023 Å, 90.00 90.00 90.00°
Closest atoms and distances in Å follow each position.
Space group Cmcm (No. 63)
One atom of each set of equivalent atoms:
La1 0.0000 0.2494 0.2500 (multiplicity 4)  2 Ge 3.00, 1 Fe 3.30, 1 Co 3.36
Fe1 0.0000 0.0492 0.7500 (multiplicity 4)  5 Ge 2.21-2.36
Co1 0.0000 0.4469 0.7500 (multiplicity 4)  5 Ge 2.19-2.33
Ge1 0.0000 0.2489 0.7500 (multiplicity 4)  1 Co 2.19, 1 Fe 2.21
Ge2 0.2462 0.5000 0.0000 (multiplicity 8)  2 Co 2.33, 2 Fe 2.36

Results
E_tot = -36.23 eV/f.u.
volume = 18.9 Å³/atom
formation enthalpy at 0 K = -314 meV per atom
D(E_F) = 12.7 states/eV per cell

=====

13.
A relaxed LiCe2Pd5 crystal. Source: Alexandria via LeMat-Bulk, functional PBE.

Cell: 6.0119 6.0119 8.1028 Å, 90.00 90.00 90.00°
Closest atoms and distances in Å follow each position.
Space group I4mm (No. 107)
One atom of each set of equivalent atoms:
Li1 0.0000 0.0000 0.0000 (multiplicity 2)  8 Pd 2.91-2.96, 4 Ce 3.01
Ce1 0.0000 0.5000 0.4949 (multiplicity 4)  10 Pd 2.93-3.01, 2 Li 3.01
Pd1 0.0000 0.0000 0.4943 (multiplicity 2)  8 Pd 2.94, 4 Ce 3.01
Pd2 0.2493 0.2493 0.7451 (multiplicity 8)  2 Li 2.91-2.96, 4 Ce 2.93-2.94, 6 Pd 2.94-3.01

Results
E_tot = -45.05 eV/f.u.
volume = 18.3 Å³/atom
formation enthalpy at 0 K = -663 meV per atom
D(E_F) = 25.3 states/eV per cell

=====

14.
A relaxed Ca2PmSm2 crystal. Source: Alexandria via LeMat-Bulk, functional PBE.

Cell: 9.5285 9.5285 4.0147 Å, 90.00 90.00 90.00°
Closest atoms and distances in Å follow each position.
Space group P4/mbm (No. 127)
One atom of each set of equivalent atoms:
Ca1 0.1722 0.3278 0.0000 (multiplicity 4)  6 Sm 3.37-3.51
Pm1 0.0000 0.0000 0.5000 (multiplicity 2)  4 Sm 3.76, 2 Pm 4.01, 8 Ca 4.06
Sm1 0.1267 0.6267 0.5000 (multiplicity 4)  6 Ca 3.37-3.51, 1 Sm 3.41, 2 Pm 3.76

Results
E_tot = -17.13 eV/f.u.
volume = 36.5 Å³/atom
formation enthalpy at 0 K = 213 meV per atom
D(E_F) = 15.4 states/eV per cell
distance to the lowest polymorph of the same formula = 169 meV per atom

=====

15.
A relaxed PrSi2Pt crystal. Source: Alexandria via LeMat-Bulk, functional PBE.

Cell: 4.3927 8.6443 16.2554 Å, 90.00 90.00 90.00°
Closest atoms and distances in Å follow each position.
Space group Immm (No. 71)
One atom of each set of equivalent atoms:
Pr1 0.0000 0.0000 0.2022 (multiplicity 4)  8 Si 3.02-3.05, 6 Pt 3.21-3.23
Pr2 0.0000 0.2444 0.0000 (multiplicity 4)  10 Si 3.27-3.34, 4 Pt 3.28
Si1 0.0000 0.0000 0.4264 (multiplicity 4)  1 Si 2.39, 2 Pt 2.45
Si2 0.0000 0.3523 0.1975 (multiplicity 8)  3 Pt 2.48-2.65, 1 Si 2.55
Si3 0.0000 0.5000 0.4273 (multiplicity 4)  1 Si 2.36, 2 Pt 2.54
Pt1 0.0000 0.2448 0.3504 (multiplicity 8)  5 Si 2.45-2.65

Results
E_tot = -25.48 eV/f.u.
volume = 19.3 Å³/atom
D(E_F) = 9.8 states/eV per cell

=====

16.
A relaxed PaAlV crystal. Source: Alexandria via LeMat-Bulk, functional PBE.

Cell: 4.6990 4.6990 3.0255 Å, 90.00 90.00 120.00°
Closest atoms and distances in Å follow each position.
Space group P-6m2 (No. 187)
One atom of each set of equivalent atoms:
Pa1 0.0000 0.0000 0.0000 (multiplicity 1)  2 Pa 3.03, 6 Al 3.11, 6 V 3.11
Al1 0.3333 0.6667 0.5000 (multiplicity 1)  3 V 2.71, 2 Al 3.03
V1 0.6667 0.3333 0.5000 (multiplicity 1)  3 Al 2.71, 2 V 3.03

Results
E_tot = -22.05 eV/f.u.
volume = 19.3 Å³/atom
formation enthalpy at 0 K = 104 meV per atom
D(E_F) = 5.8 states/eV per cell
distance to the lowest polymorph of the same formula = 230 meV per atom

=====

17.
A relaxed Ce2FeOs crystal. Source: Alexandria via LeMat-Bulk, functional PBE.

Cell: 2.9958 2.9958 28.4995 Å, 90.00 90.00 120.00°
Closest atoms and distances in Å follow each position.
Space group R-3m (No. 166, hexagonal axes)
One atom of each set of equivalent atoms:
Ce1 0.0000 0.0000 0.0823 (multiplicity 6)  1 Fe 2.34
Fe1 0.0000 0.0000 0.0000 (multiplicity 3)  2 Ce 2.34
Os1 0.0000 0.0000 0.5000 (multiplicity 3)  6 Ce 2.96, 6 Os 3.00

Results
E_tot = -30.01 eV/f.u.
volume = 18.5 Å³/atom
formation enthalpy at 0 K = 387 meV per atom
D(E_F) = 18.0 states/eV per cell

=====

18.
A relaxed Nd2ErPaSb5 crystal. Source: Alexandria via LeMat-Bulk, functional PBE.

Cell: 5.4909 5.4909 11.5695 Å, 90.00 90.00 90.00°
Closest atoms and distances in Å follow each position.
Space group P4/mmm (No. 123)
One atom of each set of equivalent atoms:
Nd1 0.0000 0.0000 0.2213 (multiplicity 2)  1 Sb 3.22
Er1 0.5000 0.5000 0.5000 (multiplicity 1)  2 Sb 2.84
Pa1 0.5000 0.5000 0.0000 (multiplicity 1)  6 Sb 2.75-2.94
Sb1 0.0000 0.0000 0.5000 (multiplicity 1)  2 Nd 3.22
Sb2 0.0000 0.5000 0.0000 (multiplicity 2)  2 Pa 2.75
Sb3 0.5000 0.5000 0.2544 (multiplicity 2)  1 Er 2.84, 1 Pa 2.94

Results
E_tot = -45.92 eV/f.u.
volume = 38.8 Å³/atom
D(E_F) = 6.5 states/eV per cell

=====

19.
A relaxed La2SnPbC crystal. Source: Alexandria via LeMat-Bulk, functional PBE.

Cell: 5.2632 5.2632 4.8730 Å, 90.00 90.00 90.00°
Closest atoms and distances in Å follow each position.
Space group P4/mmm (No. 123)
One atom of each set of equivalent atoms:
La1 0.0000 0.5000 0.0000 (multiplicity 2)  2 C 2.63
Sn1 0.0000 0.0000 0.5000 (multiplicity 1)  8 La 3.59, 4 Pb 3.72
Pb1 0.5000 0.5000 0.5000 (multiplicity 1)  2 C 2.44
C1 0.5000 0.5000 0.0000 (multiplicity 1)  2 Pb 2.44, 4 La 2.63

Results
E_tot = -27.72 eV/f.u.
volume = 27.0 Å³/atom
formation enthalpy at 0 K = -186 meV per atom
D(E_F) = 2.5 states/eV per cell
distance to the lowest polymorph of the same formula = 0 meV per atom

=====

20.
A relaxed Pm2Nd2Dy crystal. Source: Alexandria via LeMat-Bulk, functional PBE.

Cell: 16.1432 6.3636 6.9362 Å, 90.00 104.83 90.00°
Closest atoms and distances in Å follow each position.
Space group C2/c (No. 15)
One atom of each set of equivalent atoms:
Pm1 0.1987 0.0827 0.1505 (multiplicity 8)  2 Dy 3.60-3.67, 5 Nd 3.62-3.70, 5 Pm 3.62-3.69
Nd1 0.0996 0.4168 0.4500 (multiplicity 8)  4 Nd 3.62-3.67, 5 Pm 3.62-3.70, 3 Dy 3.63-3.68
Dy1 0.0000 0.0815 0.7500 (multiplicity 4)  4 Pm 3.60-3.67, 2 Dy 3.62, 6 Nd 3.63-3.68

Results
E_tot = -23.50 eV/f.u.
volume = 34.4 Å³/atom
formation enthalpy at 0 K = 28 meV per atom
D(E_F) = 34.7 states/eV per cell
distance to the lowest polymorph of the same formula = 0 meV per atom